Record 1
BaGeB3, optimized geometry, DFT PBE-GGA; energy relative to the lowest polymorph listed for this composition = 1537.8 meV per atom; formation energy = 2.87 eV per atom; space-group type = Pm-3m
1.0
-1.4498 -4.6074 0.9663
1.4399 0.5286 4.6809
-4.4820 1.6601 1.1913
B Ge Ba
3 1 1
Direct
0.0000 0.0000 0.5000
0.5000 0.0000 0.0000
0.0000 0.5000 0.0000
0.5000 0.5000 0.5000
0.0000 0.0000 0.0000



Record 2
BaGeB2, optimized geometry, DFT PBE-GGA; formation energy = 0.53 eV per atom; space-group type = I4_1/amd
1.0
4.7191 0.0000 0.0000
0.0000 4.7191 0.0000
2.3595 2.3595 6.8861
B Ge Ba
4 2 2
Direct
0.3749 0.1250 0.2500
0.8750 0.6249 0.7500
0.3750 0.6251 0.7500
0.3751 0.6250 0.2500
0.2500 0.7500 0.5000
0.5000 0.5000 0.0000
0.7500 0.2500 0.5000
0.0000 0.0000 0.0000



Record 3
BaGeB, optimized geometry, DFT PBE-GGA; formation energy = 0.52 eV per atom; space-group type = C2/m
1.0
-2.6833 4.7730 -2.7226
0.9169 -5.4847 -3.6515
-5.6496 -2.0225 2.0224
B Ba Ge
2 2 2
Direct
0.7150 0.4301 0.7568
0.2850 0.5699 0.2432
0.7465 0.4931 0.2430
0.2535 0.5069 0.7570
0.5614 0.1228 0.6594
0.4386 0.8772 0.3406



Record 4
BaGeB3, optimized geometry, DFT PBE-GGA; energy relative to the lowest polymorph listed for this composition = 0.0 meV per atom; formation energy = 1.34 eV per atom; space-group type = Pm-3m
1.0
4.3814 0.0000 0.0000
0.0000 4.3814 0.0000
0.0000 0.0000 4.3814
B Ba Ge
3 1 1
Direct
0.5000 0.0000 0.0000
0.0000 0.0000 0.5000
0.0000 0.5000 0.0000
0.5000 0.5000 0.5000
0.0000 0.0000 0.0000



How do the records compare in E_tot? In the order shown, they have -2.44; -4.44; -3.89; -3.98 eV per atom.